The following is a DFT calculation (PBE) of crystalline NdAl4Pt6 at its relaxed geometry.

abc: 6.586 6.586 6.586
angles: 93.08 118.24 118.24
Element x y z (fractional)
Pt1 0.688 0.226 0.226
Pt2 0.500 0.000 0.500
Pt3 0.312 0.538 0.538
Pt4 0.500 0.500 0.000
Pt5 0.000 0.462 0.774
Pt6 0.000 0.774 0.462
Al1 0.595 0.464 0.464
Al2 0.000 0.131 0.536
Al3 0.405 0.869 0.869
Al4 0.000 0.536 0.131
Nd1 0.000 0.000 0.000

Its total energy is -63.8 eV/f.u. The calculation puts the formation energy at -7.80 eV per formula unit. The theoretical density comes out at 11.408 Mg/m³.